Below is a relaxed LiAlPtO4 crystal, with properties calculated at the PBE level.

Properties
Magnetization   0.000 μB/atom
Electronic total energy   -6.32 eV per atom
Raw formation energy   -1.813 eV/atom

Lattice parameters (Å, degrees): 5.731 6.153 8.422 90.00 90.00 90.00
Space group Imma (No. 74)
One atom of each set of equivalent atoms:
1 Li 0.000 0.250 0.139 x4
2 Al 0.250 0.250 0.750 x4
3 Pt 0.000 0.000 0.500 x4
4 O 0.000 0.039 0.743 x8
5 O 0.234 0.250 0.519 x8

=====

Below is a relaxed SrNb2Bi2 crystal, with properties calculated at the PBE level.

Properties
Magnetization   0.000 μB/atom
Electronic total energy   -6.07 eV per atom

Lattice parameters (Å, degrees): 4.187 4.187 15.587 90.00 90.00 90.00
Space group I4/mmm (No. 139)
One atom of each set of equivalent atoms:
1 Sr 0.000 0.000 0.000 x2
2 Nb 0.000 0.500 0.250 x4
3 Bi 0.000 0.000 0.382 x4

=====

> Look up the electronic total energy of the second one.

-6.07 eV per atom

=====

> magnetization of number 2 (SrNb2Bi2)?

0.000 μB/atom

=====

> What is the electronic total energy in the first record?

-6.32 eV per atom